# Ho2SbSe

A relaxed structure of Ho2SbSe (PBE, Alexandria).

abc: 4.210 5.988 8.436
angles: 90.00 90.00 90.00
Fractional coordinates of all 8 atoms:
Ho 0.000 0.000 0.383
Se 0.500 0.000 0.622
Sb 0.500 0.000 0.127
Sb 0.000 0.500 0.873
Ho 0.000 0.000 0.865
Ho 0.500 0.500 0.135
Se 0.000 0.500 0.378
Ho 0.500 0.500 0.617

ρ   8.286 g/cm³
E_form (uncorrected)   -1.42 eV/atom
Total magnetic moment   0.0 μB per cell
Electronic total energy   -44.92 eV/cell

---

# BaLaMn

A relaxed structure of BaLaMn (PBE, Alexandria).

abc: 4.683 4.683 5.440
angles: 90.00 90.00 120.00
Fractional coordinates of all 3 atoms:
Ba 0.000 0.000 0.000
La 0.667 0.333 0.500
Mn 0.333 0.667 0.500

ρ   5.322 g/cm³
Total magnetic moment   1.6 μB per cell
Electronic total energy   -14.22 eV/cell
ΔE_f   0.601 eV/atom

---

# Ge2PtSe

A relaxed structure of Ge2PtSe (PBE, Alexandria).

abc: 6.002 6.002 6.949
angles: 64.41 64.41 90.00
Fractional coordinates of all 8 atoms:
Se 0.250 0.750 0.500
Ge 0.092 0.625 0.250
Ge 0.875 0.908 0.750
Pt 0.750 0.250 0.500
Ge 0.375 0.342 0.750
Pt 0.000 0.000 0.000
Se 0.500 0.500 0.000
Ge 0.658 0.125 0.250

ρ   7.026 g/cm³
E_form (uncorrected)   -0.17 eV/atom
Total magnetic moment   0.0 μB per cell
Electronic total energy   -38.90 eV/cell

---

# CrBr

A relaxed structure of CrBr (PBE, Alexandria).

abc: 3.786 3.786 7.592
angles: 90.00 90.00 120.00
Fractional coordinates of all 4 atoms:
Cr 0.667 0.333 0.750
Cr 0.333 0.667 0.250
Br 0.000 0.000 0.000
Br 0.000 0.000 0.500

ρ   4.647 g/cm³
E_form (uncorrected)   0.23 eV/atom
Total magnetic moment   10.0 μB per cell
Electronic total energy   -21.66 eV/cell

---

# KRhS

A relaxed structure of KRhS (PBE, Alexandria).

abc: 4.003 4.003 9.807
angles: 90.00 90.00 90.00
Fractional coordinates of all 6 atoms:
Rh 0.000 0.000 0.500
S 0.500 0.000 0.637
S 0.000 0.500 0.363
K 0.500 0.000 0.201
K 0.000 0.500 0.799
Rh 0.500 0.500 0.500

ρ   3.679 g/cm³
E_form (uncorrected)   -0.44 eV/atom
Total magnetic moment   0.9 μB per cell
Electronic total energy   -27.81 eV/cell

---

# TbZn4Au2

A relaxed structure of TbZn4Au2 (PBE, Alexandria).

abc: 4.386 7.622 7.622
angles: 90.00 90.00 90.00
Fractional coordinates of all 14 atoms:
Tb 0.000 0.500 0.500
Au 0.000 0.793 0.207
Zn 0.000 0.355 0.100
Zn 0.000 0.100 0.355
Zn 0.500 0.855 0.400
Zn 0.000 0.645 0.900
Au 0.500 0.293 0.293
Au 0.500 0.707 0.707
Zn 0.500 0.600 0.145
Au 0.000 0.207 0.793
Zn 0.500 0.400 0.855
Zn 0.500 0.145 0.600
Zn 0.000 0.900 0.645
Tb 0.500 0.000 0.000

ρ   10.616 g/cm³
Total magnetic moment   0.0 μB per cell
Electronic total energy   -38.24 eV/cell
ΔE_f   -0.405 eV/atom

---

# Ce3SmCo

A relaxed structure of Ce3SmCo (PBE, Alexandria).

abc: 5.246 5.246 5.246
angles: 90.00 90.00 90.00
Fractional coordinates of all 5 atoms:
Ce 0.000 0.500 0.000
Sm 0.500 0.500 0.500
Ce 0.000 0.000 0.500
Ce 0.500 0.000 0.000
Co 0.000 0.000 0.000

ρ   7.242 g/cm³
Total magnetic moment   1.9 μB per cell
Electronic total energy   -29.24 eV/cell
ΔE_f   0.077 eV/atom

---

# TlSb3Au

A relaxed structure of TlSb3Au (PBE, Alexandria).

abc: 5.501 5.501 5.501
angles: 90.00 90.00 90.00
Fractional coordinates of all 5 atoms:
Tl 0.500 0.500 0.500
Au 0.000 0.000 0.000
Sb 0.000 0.000 0.500
Sb 0.500 0.000 0.000
Sb 0.000 0.500 0.000

ρ   7.646 g/cm³
E_form (uncorrected)   0.43 eV/atom
Total magnetic moment   0.0 μB per cell
Electronic total energy   -15.85 eV/cell

---

# Nd4TlPb

A relaxed structure of Nd4TlPb (PBE, Alexandria).

abc: 6.598 9.151 8.339
angles: 113.24 100.48 112.93
Fractional coordinates of all 12 atoms:
Pb 0.367 0.617 0.234
Nd 0.235 0.295 0.383
Nd 0.765 0.705 0.617
Nd 0.894 0.780 0.177
Tl 0.254 0.004 0.008
Nd 0.783 0.398 0.177
Tl 0.746 0.996 0.992
Nd 0.106 0.220 0.823
Nd 0.217 0.602 0.823
Nd 0.647 0.088 0.383
Pb 0.633 0.383 0.766
Nd 0.353 0.912 0.617

ρ   8.393 g/cm³
Total magnetic moment   0.0 μB per cell
Electronic total energy   -53.79 eV/cell
ΔE_f   -0.291 eV/atom

---

# Zr4CoRh

A relaxed structure of Zr4CoRh (PBE, Alexandria).

abc: 3.251 5.615 12.970
angles: 89.81 90.00 90.00
Fractional coordinates of all 12 atoms:
Rh 0.500 0.500 0.000
Zr 0.500 0.827 0.652
Zr 0.000 0.673 0.848
Rh 0.000 0.000 0.500
Zr 0.500 0.160 0.851
Zr 0.500 0.840 0.149
Zr 0.000 0.340 0.649
Co 0.000 0.000 0.000
Zr 0.500 0.173 0.348
Zr 0.000 0.327 0.152
Zr 0.000 0.660 0.351
Co 0.500 0.500 0.500

ρ   7.388 g/cm³
Total magnetic moment   0.0 μB per cell
Electronic total energy   -98.78 eV/cell
ΔE_f   -0.123 eV/atom

---

# BaTl6

A relaxed structure of BaTl6 (PBE, Alexandria).

abc: 7.298 7.298 7.298
angles: 90.00 90.00 90.00
Fractional coordinates of all 7 atoms:
Tl 0.196 0.500 0.500
Tl 0.500 0.196 0.500
Tl 0.500 0.500 0.804
Ba 0.000 0.000 0.000
Tl 0.500 0.500 0.196
Tl 0.500 0.804 0.500
Tl 0.804 0.500 0.500

ρ   5.827 g/cm³
Total magnetic moment   0.0 μB per cell
Electronic total energy   -13.52 eV/cell
ΔE_f   0.371 eV/atom

---

# AlCl

A relaxed structure of AlCl (PBE, Alexandria).

abc: 7.434 9.811 12.022
angles: 90.00 90.00 90.00
Fractional coordinates of all 32 atoms:
Cl 0.000 0.822 0.500
Cl 0.750 0.072 0.750
Al 0.770 0.500 0.500
Cl 0.500 0.678 0.500
Cl 0.750 0.572 0.250
Al 0.230 0.500 0.500
Cl 0.250 0.572 0.750
Cl 0.500 0.822 0.000
Al 0.020 0.250 0.750
Cl 0.250 0.072 0.250
Cl 0.000 0.322 0.000
Al 0.480 0.750 0.250
Al 0.270 0.000 0.500
Al 0.520 0.250 0.250
Al 0.480 0.250 0.750
Cl 0.250 0.428 0.250
Cl 0.500 0.178 0.000
Al 0.230 0.000 0.000
Al 0.730 0.000 0.500
Al 0.980 0.750 0.750
Al 0.730 0.500 0.000
Cl 0.250 0.928 0.750
Al 0.520 0.750 0.750
Al 0.770 0.000 0.000
Cl 0.750 0.428 0.750
Cl 0.000 0.178 0.500
Cl 0.500 0.322 0.500
Al 0.020 0.750 0.250
Cl 0.000 0.678 0.000
Al 0.270 0.500 0.000
Al 0.980 0.250 0.250
Cl 0.750 0.928 0.250

ρ   1.892 g/cm³
E_form (uncorrected)   -0.33 eV/atom
Total magnetic moment   0.0 μB per cell
Electronic total energy   -100.04 eV/cell